The following is a DFT calculation (PBE-GGA) of crystalline HgTe2Pt at its relaxed geometry.

Calculated values
As for the formation energy from raw total energies: -1.11 kcal/mol of atoms. The calculated volume comes out at 25.37 Å³ per atom. The symmetry is R3m, No. 160. As for the total moment: 0.00 μB/f.u.

a = 7.183 Å, b = 7.183 Å, c = 7.183 Å
α = 33.67°, β = 33.67°, γ = 33.67°
Sites, in units of the cell vectors:
Hg: 0.000 0.000 0.000
Te: 0.251 0.251 0.251
Te: 0.471 0.471 0.471
Pt: 0.745 0.745 0.745



The following is a DFT calculation (PBE-GGA) of crystalline ErTmSc2 at its relaxed geometry.

Calculated values
The calculated volume comes out at 27.29 Å³ per atom. The symmetry is P4/mmm, No. 123. As for the total moment: 0.00 μB/f.u. For the formation enthalpy at 0 K, the calculation gives 0.20 eV/f.u.

a = 3.412 Å, b = 3.412 Å, c = 9.375 Å
α = 90.00°, β = 90.00°, γ = 90.00°
Sites, in units of the cell vectors:
Er: 0.000 0.000 0.000
Tm: 0.000 0.000 0.500
Sc: 0.500 0.500 0.251
Sc: 0.500 0.500 0.749



| no. | E_tot (eV per formula unit) |
| --- | --- |
| 1 | -12.82 |
| 2 | -21.50 |